PBE USN, optimized geometry; SG = I4mm, No. 107; size of the total moment = 0.93 Bohr magnetons per cell; VASP energy = -26.0 eV for the cell shown
1.0
-1.611 1.611 4.685
1.611 -1.611 4.685
1.611 1.611 -4.685
U S N
1 1 1
Cartesian
0.000 0.000 0.000
0.000 0.000 2.888
0.000 0.000 5.328

=====

PBE U2SN2, optimized geometry; SG = R-3m, No. 166; size of the total moment = 2.37 Bohr magnetons per cell; VASP energy = -49.3 eV for the cell shown
1.0
1.819 1.050 8.799
-1.819 1.050 8.799
0.000 -2.101 8.799
U S N
2 1 2
Cartesian
0.000 0.000 2.596
0.000 0.000 23.801
0.000 0.000 13.199
0.000 0.000 6.876
0.000 0.000 19.522

=====

PBE ZrUS2N, optimized geometry; SG = P4/nmm, No. 129; size of the total moment = 2.90 Bohr magnetons per cell; VASP energy = -88.2 eV for the cell shown
1.0
3.696 0.000 0.000
0.000 3.696 0.000
0.000 0.000 12.934
Zr U S N
2 2 4 2
Cartesian
0.924 0.924 1.164
2.772 2.772 11.770
0.924 0.924 7.713
2.772 2.772 5.221
0.924 0.924 3.846
0.924 0.924 11.446
2.772 2.772 1.488
2.772 2.772 9.088
0.924 2.772 6.467
2.772 0.924 6.467

=====

PBE VSN, optimized geometry; SG = Pnma, No. 62; size of the total moment = 0.00 Bohr magnetons per cell; VASP energy = -92.9 eV for the cell shown
1.0
10.525 0.000 0.000
0.000 3.089 0.000
0.000 0.000 5.632
V S N
4 4 4
Cartesian
1.105 0.772 0.273
4.158 2.317 3.089
6.367 0.772 2.543
9.420 2.317 5.358
1.961 2.317 1.850
3.301 0.772 4.666
7.224 2.317 0.965
8.564 0.772 3.781
0.691 2.317 4.867
4.572 0.772 2.051
5.954 2.317 3.581
9.834 0.772 0.765

=====

PBE VS3N, optimized geometry; SG = Pm-3m, No. 221; size of the total moment = 1.77 Bohr magnetons per cell; VASP energy = -25.5 eV for the cell shown
1.0
4.090 0.000 0.000
0.000 4.090 0.000
0.000 0.000 4.090
V S N
1 3 1
Cartesian
0.000 0.000 0.000
0.000 2.045 2.045
2.045 0.000 2.045
2.045 2.045 0.000
2.045 2.045 2.045

=====

PBE VSN2, optimized geometry; SG = I-42d, No. 122; size of the total moment = 0.00 Bohr magnetons per cell; VASP energy = -55.8 eV for the cell shown
1.0
-2.497 2.497 4.293
2.497 -2.497 4.293
2.497 2.497 -4.293
V S N
2 2 4
Cartesian
0.000 0.000 0.000
0.000 2.497 2.146
2.497 0.000 2.146
0.000 0.000 4.293
3.746 0.801 -1.073
0.801 1.249 1.073
-1.249 1.696 3.220
1.696 1.249 5.366

=====

PBE V2SN2, optimized geometry; SG = P-3m1, No. 164; size of the total moment = 0.00 Bohr magnetons per cell; VASP energy = -42.5 eV for the cell shown
1.0
3.329 0.000 0.000
-1.664 2.883 0.000
0.000 0.000 5.932
V S N
2 1 2
Cartesian
0.000 1.922 1.872
1.664 0.961 4.060
0.000 0.000 0.000
0.000 1.922 3.855
1.664 0.961 2.077

=====

PBE V6S2N, optimized geometry; SG = C2/m, No. 12; size of the total moment = 0.00 Bohr magnetons per cell; VASP energy = -77.7 eV for the cell shown
1.0
4.939 -1.544 0.000
4.939 1.544 0.000
-0.137 0.000 7.026
V S N
6 2 1
Cartesian
0.412 0.000 1.523
3.484 0.000 0.474
3.637 0.000 3.155
6.104 0.000 3.872
6.256 0.000 6.553
9.329 0.000 5.503
2.517 0.000 5.227
7.224 0.000 1.799
-0.068 0.000 3.513

=====

| no. | E_form (uncorrected) (meV per atom) |
| --- | --- |
| 1 | -749 |
| 2 | -1196 |
| 3 | -1534 |
| 4 | -549 |
| 5 | 872 |
| 6 | 504 |
| 7 | -699 |
| 8 | -710 |